Er2NiC | PBE | optimized geometry

Density of states at the Fermi level: 0.190 states/eV per atom

Cell and atoms, written as CIF:
```
data_Er2NiC
_chemical_formula_sum 'Er6 Ni3 C3'
_cell_length_a 3.581
_cell_length_b 3.581
_cell_length_c 19.603
_cell_angle_alpha 90.00
_cell_angle_beta 90.00
_cell_angle_gamma 120.00
_symmetry_space_group_name_H-M 'P 1'
_symmetry_Int_Tables_number 1
_symmetry_space_group_name_Hall 'P 1'
loop_
_atom_site_label
_atom_site_fract_x
_atom_site_fract_y
_atom_site_fract_z
Er1 0.000 0.000 0.235
Er2 0.000 0.000 0.765
Er3 0.333 0.667 0.432
Er4 0.333 0.667 0.902
Er5 0.667 0.333 0.098
Er6 0.667 0.333 0.568
Ni1 0.000 0.000 0.000
Ni2 0.333 0.667 0.667
Ni3 0.667 0.333 0.333
C1 0.000 0.000 0.500
C2 0.333 0.667 0.167
C3 0.667 0.333 0.833
```


ErNi6C | PBE | optimized geometry

Density of states at the Fermi level: 0.634 states/eV per atom

Cell and atoms, written as CIF:
```
data_ErNi6C
_chemical_formula_sum 'Er1 Ni6 C1'
_cell_length_a 5.298
_cell_length_b 5.298
_cell_length_c 5.298
_cell_angle_alpha 58.11
_cell_angle_beta 58.11
_cell_angle_gamma 58.11
_symmetry_space_group_name_H-M 'P 1'
_symmetry_Int_Tables_number 1
_symmetry_space_group_name_Hall 'P 1'
loop_
_atom_site_label
_atom_site_fract_x
_atom_site_fract_y
_atom_site_fract_z
Er1 0.000 0.000 0.000
Ni1 0.072 0.599 0.599
Ni2 0.401 0.401 0.928
Ni3 0.401 0.928 0.401
Ni4 0.599 0.072 0.599
Ni5 0.599 0.599 0.072
Ni6 0.928 0.401 0.401
C1 0.500 0.500 0.500
```


Er2Ni4C | PBE | optimized geometry

Density of states at the Fermi level: 0.997 states/eV per atom

Cell and atoms, written as CIF:
```
data_Er2Ni4C
_chemical_formula_sum 'Er4 Ni8 C2'
_cell_length_a 3.799
_cell_length_b 3.799
_cell_length_c 14.784
_cell_angle_alpha 90.00
_cell_angle_beta 90.00
_cell_angle_gamma 90.00
_symmetry_space_group_name_H-M 'P 1'
_symmetry_Int_Tables_number 1
_symmetry_space_group_name_Hall 'P 1'
loop_
_atom_site_label
_atom_site_fract_x
_atom_site_fract_y
_atom_site_fract_z
Er1 0.000 0.000 0.167
Er2 0.000 0.000 0.833
Er3 0.500 0.500 0.333
Er4 0.500 0.500 0.667
Ni1 0.000 0.000 0.373
Ni2 0.000 0.000 0.627
Ni3 0.000 0.500 0.000
Ni4 0.000 0.500 0.500
Ni5 0.500 0.000 0.000
Ni6 0.500 0.000 0.500
Ni7 0.500 0.500 0.127
Ni8 0.500 0.500 0.873
C1 0.000 0.000 0.500
C2 0.500 0.500 0.000
```


ErNi7C2 | PBE | optimized geometry

Density of states at the Fermi level: 0.911 states/eV per atom

Cell and atoms, written as CIF:
```
data_ErNi7C2
_chemical_formula_sum 'Er1 Ni7 C2'
_cell_length_a 5.951
_cell_length_b 5.951
_cell_length_c 3.843
_cell_angle_alpha 90.00
_cell_angle_beta 90.00
_cell_angle_gamma 117.76
_symmetry_space_group_name_H-M 'P 1'
_symmetry_Int_Tables_number 1
_symmetry_space_group_name_Hall 'P 1'
loop_
_atom_site_label
_atom_site_fract_x
_atom_site_fract_y
_atom_site_fract_z
Er1 0.000 0.000 0.000
Ni1 0.053 0.339 0.500
Ni2 0.281 0.719 0.000
Ni3 0.339 0.053 0.500
Ni4 0.500 0.500 0.500
Ni5 0.661 0.947 0.500
Ni6 0.719 0.281 0.000
Ni7 0.947 0.661 0.500
C1 0.308 0.692 0.500
C2 0.692 0.308 0.500
```


no.,calculated total energy (eV per atom),formation energy (kJ per mole of atoms)
1,-6.26,-21
2,-6.17,-11
3,-6.20,-27
4,-6.28,7